Density functional theory data (PBE-GGA) for an optimized crystal structure of Ca2AcAl9.

Results
For the energy of formation from the pure elements, the calculation gives -0.2867 eV/atom. The uncorrected energy is -135.70 eV for the cell shown. The spin magnetization comes out at 0.00 μB per atom.

abc: 5.7591 5.7591 26.6255
angles: 90.00 90.00 120.00
Space group R-3m (No. 166, hexagonal axes)
Unique sites:
Ca1 0.0000 0.0000 0.1421 x6
Ac1 0.0000 0.0000 0.0000 x3
Al1 0.0000 0.0000 0.3357 x6
Al2 0.0000 0.0000 0.5000 x3
Al3 0.0070 0.5035 0.9174 x18


Density functional theory data (PBE-GGA) for an optimized crystal structure of SrZnHg2.

Results
For the energy of formation from the pure elements, the calculation gives -0.3222 eV/atom. The uncorrected energy is -19.39 eV for the cell shown. The spin magnetization comes out at 0.00 μB per atom.

abc: 8.767 7.814 5.987
angles: 90.00 90.00 90.00
Space group Pnma (No. 62)
Unique sites:
Sr1 0.045 0.250 0.126 x4
Zn1 0.107 0.750 0.379 x4
Hg1 0.181 0.051 0.621 x8


Density functional theory data (PBE-GGA) for an optimized crystal structure of SiTe2IN.

Results
The uncorrected energy is -14.30 eV for the cell shown. The formation energy from raw total energies comes out at 702.8 kJ/mol of formula units. The spin magnetization comes out at 0.00 μB per atom.

abc: 5.948 5.948 3.936
angles: 90.00 90.00 90.00
Space group P4/mmm (No. 123)
Unique sites:
Si1 0.000 0.000 0.000 x1
Te1 0.000 0.500 0.500 x2
I1 0.500 0.500 0.500 x1
N1 0.500 0.500 0.000 x1


Density functional theory data (PBE-GGA) for an optimized crystal structure of CaZnAg2Au4.

Results
For the energy of formation from the pure elements, the calculation gives -0.2791 eV/atom. The uncorrected energy is -72.96 eV for the cell shown. The spin magnetization comes out at 0.00 μB per atom.

abc: 4.7624 4.7624 23.2117
angles: 90.00 90.00 120.00
Space group R-3m (No. 166, hexagonal axes)
Unique sites:
Ca1 0.0000 0.0000 0.0000 x3
Zn1 0.0000 0.0000 0.5000 x3
Ag1 0.0000 0.0000 0.2558 x6
Au1 0.0000 0.0000 0.1332 x6
Au2 0.0000 0.0000 0.3872 x6


Density functional theory data (PBE-GGA) for an optimized crystal structure of Pm2TmCd3.

Results
For the energy of formation from the pure elements, the calculation gives -0.3116 eV/atom. The uncorrected energy is -18.59 eV for the cell shown. The spin magnetization comes out at 0.16 μB per atom.

abc: 3.764 3.764 11.504
angles: 90.00 90.00 90.00
Space group P4/mmm (No. 123)
Unique sites:
Pm1 0.000 0.000 0.171 x2
Tm1 0.000 0.000 0.500 x1
Cd1 0.500 0.500 0.000 x1
Cd2 0.500 0.500 0.346 x2


Density functional theory data (PBE-GGA) for an optimized crystal structure of SrMgPb2Cl8.

Results
The uncorrected energy is -45.02 eV for the cell shown. The formation energy from raw total energies comes out at -1886.8 kJ/mol of formula units. The spin magnetization comes out at 0.00 μB per atom.

abc: 6.450 8.544 6.663
angles: 90.00 90.56 90.00
Space group P2/m (No. 10)
Unique sites:
Sr1 0.000 0.000 0.000 x1
Mg1 0.000 0.500 0.000 x1
Pb1 0.500 0.265 0.500 x2
Cl1 0.215 0.279 0.155 x4
Cl2 0.242 0.500 0.693 x2
Cl3 0.271 0.000 0.658 x2


Density functional theory data (PBE-GGA) for an optimized crystal structure of TlRe2O6F.

Results
The uncorrected energy is -291.59 eV for the cell shown. The formation energy from raw total energies comes out at -1352.2 kJ/mol of formula units. The spin magnetization comes out at 0.00 μB per atom.

abc: 8.281 12.753 5.952
angles: 90.00 90.43 90.00
Space group C2/c (No. 15)
Unique sites:
Tl1 0.000 0.147 0.250 x4
Re1 0.174 0.413 0.252 x8
O1 0.000 0.362 0.059 x8
O2 0.193 0.192 0.746 x8
O3 0.239 0.000 0.497 x8
F1 0.000 0.468 0.750 x4


Density functional theory data (PBE-GGA) for an optimized crystal structure of Mg2ReRh.

Results
For the energy of formation from the pure elements, the calculation gives 0.1478 eV/atom. The uncorrected energy is -22.40 eV for the cell shown. The spin magnetization comes out at 0.00 μB per atom.

abc: 2.744 4.201 5.509
angles: 90.00 90.00 90.00
Space group Pmmm (No. 47)
Unique sites:
Mg1 0.000 0.000 0.247 x2
Re1 0.500 0.500 0.500 x1
Rh1 0.500 0.500 0.000 x1


Density functional theory data (PBE-GGA) for an optimized crystal structure of ZrTl4Si.

Results
The uncorrected energy is -77.95 eV for the cell shown. The formation energy from raw total energies comes out at 381.1 kJ/mol of formula units. The spin magnetization comes out at 0.00 μB per atom.

abc: 8.581 8.581 8.581
angles: 90.00 90.00 90.00
Space group F-43m (No. 216)
Unique sites:
Zr1 0.000 0.000 0.000 x4
Tl1 0.125 0.125 0.375 x16
Si1 0.250 0.250 0.750 x4


Density functional theory data (PBE-GGA) for an optimized crystal structure of ZnTcNi2.

Results
For the energy of formation from the pure elements, the calculation gives -0.0250 eV/atom. The uncorrected energy is -69.91 eV for the cell shown. The spin magnetization comes out at 0.00 μB per atom.

abc: 2.6427 2.6427 25.0066
angles: 90.00 90.00 120.00
Space group R3m (No. 160, hexagonal axes)
Unique sites:
Zn1 0.0000 0.0000 0.0000 x3
Tc1 0.0000 0.0000 0.8335 x3
Ni1 0.0000 0.0000 0.2508 x3
Ni2 0.0000 0.0000 0.4161 x3


Density functional theory data (PBE-GGA) for an optimized crystal structure of RhF4.

Results
The uncorrected energy is -39.85 eV for the cell shown. The formation energy from raw total energies comes out at -490.9 kJ/mol of formula units. The spin magnetization comes out at 0.05 μB per atom.

abc: 4.673 4.673 4.804
angles: 90.00 90.00 90.00
Space group P-42_1c (No. 114)
Unique sites:
Rh1 0.000 0.000 0.000 x2
F1 0.178 0.257 0.317 x8


Density functional theory data (PBE-GGA) for an optimized crystal structure of Ni2HgPt.

Results
For the energy of formation from the pure elements, the calculation gives 0.0974 eV/atom. The uncorrected energy is -17.52 eV for the cell shown. The spin magnetization comes out at 0.31 μB per atom.

abc: 2.922 2.922 6.852
angles: 90.00 90.00 90.00
Space group P4mm (No. 99)
Unique sites:
Ni1 0.000 0.000 0.000 x1
Ni2 0.500 0.500 0.188 x1
Hg1 0.500 0.500 0.730 x1
Pt1 0.000 0.000 0.418 x1


Density functional theory data (PBE-GGA) for an optimized crystal structure of Tl2Se.

Results
The uncorrected energy is -18.67 eV for the cell shown. The formation energy from raw total energies comes out at -107.8 kJ/mol of formula units. The spin magnetization comes out at 0.00 μB per atom.

abc: 4.3022 4.3022 12.9715
angles: 90.00 90.00 120.00
Space group P6_3/mmc (No. 194)
Unique sites:
Tl1 0.3333 0.6667 0.1111 x4
Se1 0.0000 0.0000 0.2500 x2


Density functional theory data (PBE-GGA) for an optimized crystal structure of KPRu.

Results
For the energy of formation from the pure elements, the calculation gives -0.1479 eV/atom. The uncorrected energy is -32.45 eV for the cell shown. The spin magnetization comes out at 0.00 μB per atom.

abc: 3.100 3.100 12.348
angles: 90.00 90.00 90.00
Space group I4mm (No. 107)
Unique sites:
K1 0.000 0.000 0.000 x2
P1 0.000 0.000 0.705 x2
Ru1 0.000 0.000 0.280 x2


Density functional theory data (PBE-GGA) for an optimized crystal structure of Sm6BiTe3As2.

Results
The uncorrected energy is -135.58 eV for the cell shown. The formation energy from raw total energies comes out at -1627.5 kJ/mol of formula units. The spin magnetization comes out at 0.00 μB per atom.

abc: 19.253 4.356 8.855
angles: 90.00 104.00 90.00
Space group C2/m (No. 12)
Unique sites:
Sm1 0.013 0.000 0.257 x4
Sm2 0.171 0.500 0.112 x4
Sm3 0.175 0.500 0.569 x4
Bi1 0.000 0.500 0.000 x2
Te1 0.000 0.500 0.500 x2
Te2 0.162 0.000 0.833 x4
As1 0.169 0.000 0.337 x4


Density functional theory data (PBE-GGA) for an optimized crystal structure of LaTmZnGa.

Results
For the energy of formation from the pure elements, the calculation gives -0.4507 eV/atom. The uncorrected energy is -62.01 eV for the cell shown. The spin magnetization comes out at 0.00 μB per atom.

abc: 7.314 7.314 7.314
angles: 90.00 90.00 90.00
Space group F-43m (No. 216)
Unique sites:
La1 0.000 0.000 0.000 x4
Tm1 0.000 0.000 0.500 x4
Zn1 0.250 0.250 0.750 x4
Ga1 0.250 0.250 0.250 x4


Density functional theory data (PBE-GGA) for an optimized crystal structure of TmLuOsPt.

Results
For the energy of formation from the pure elements, the calculation gives -0.7679 eV/atom. The uncorrected energy is -117.34 eV for the cell shown. The spin magnetization comes out at 0.00 μB per atom.

abc: 6.767 6.767 6.767
angles: 90.00 90.00 90.00
Space group F-43m (No. 216)
Unique sites:
Tm1 0.000 0.000 0.000 x4
Lu1 0.000 0.000 0.500 x4
Os1 0.250 0.250 0.750 x4
Pt1 0.250 0.250 0.250 x4


Density functional theory data (PBE-GGA) for an optimized crystal structure of Sm2Al4ZnPd3.

Results
For the energy of formation from the pure elements, the calculation gives -0.7512 eV/atom. The uncorrected energy is -48.77 eV for the cell shown. The spin magnetization comes out at 0.00 μB per atom.

abc: 4.256 4.256 10.589
angles: 90.00 90.00 90.00
Space group P-4m2 (No. 115)
Unique sites:
Sm1 0.000 0.500 0.249 x2
Al1 0.000 0.000 0.500 x1
Al2 0.000 0.500 0.867 x2
Al3 0.500 0.500 0.500 x1
Zn1 0.500 0.500 0.000 x1
Pd1 0.000 0.000 0.000 x1
Pd2 0.000 0.500 0.632 x2


Density functional theory data (PBE-GGA) for an optimized crystal structure of YNi2Se.

Results
The uncorrected energy is -45.23 eV for the cell shown. The formation energy from raw total energies comes out at -106.5 kJ/mol of formula units. The spin magnetization comes out at 0.00 μB per atom.

abc: 4.068 4.068 8.126
angles: 90.00 90.00 90.00
Space group I-4m2 (No. 119)
Unique sites:
Y1 0.000 0.000 0.000 x2
Ni1 0.000 0.000 0.500 x2
Ni2 0.000 0.500 0.750 x2
Se1 0.000 0.500 0.250 x2


Density functional theory data (PBE-GGA) for an optimized crystal structure of Ba5CaTl.

Results
For the energy of formation from the pure elements, the calculation gives -0.0238 eV/atom. The uncorrected energy is -56.59 eV for the cell shown. The spin magnetization comes out at 0.00 μB per atom.

abc: 10.019 9.071 16.353
angles: 90.00 90.00 90.00
Space group Cmcm (No. 63)
Unique sites:
Ba1 0.000 0.070 0.250 x4
Ba2 0.218 0.350 0.106 x16
Ca1 0.000 0.378 0.750 x4
Tl1 0.000 0.000 0.000 x4


Density functional theory data (PBE-GGA) for an optimized crystal structure of GaFePb3.

Results
For the energy of formation from the pure elements, the calculation gives 0.3549 eV/atom. The uncorrected energy is -20.84 eV for the cell shown. The spin magnetization comes out at 0.36 μB per atom.

abc: 5.159 5.159 5.159
angles: 90.00 90.00 90.00
Space group Pm-3m (No. 221)
Unique sites:
Ga1 0.000 0.000 0.000 x1
Fe1 0.500 0.500 0.500 x1
Pb1 0.000 0.500 0.500 x3


Density functional theory data (PBE-GGA) for an optimized crystal structure of Mn2Si.

Results
The uncorrected energy is -97.88 eV for the cell shown. The formation energy from raw total energies comes out at -68.3 kJ/mol of formula units. The spin magnetization comes out at 0.15 μB per atom.

abc: 2.639 12.602 4.015
angles: 90.00 90.00 90.00
Space group Cmcm (No. 63)
Unique sites:
Mn1 0.000 0.054 0.250 x4
Mn2 0.000 0.281 0.750 x4
Si1 0.000 0.389 0.250 x4


Density functional theory data (PBE-GGA) for an optimized crystal structure of GaPbCl4.

Results
The uncorrected energy is -78.60 eV for the cell shown. The formation energy from raw total energies comes out at -533.5 kJ/mol of formula units. The spin magnetization comes out at 0.00 μB per atom.

abc: 9.455 9.455 8.500
angles: 90.00 90.00 90.00
Space group I4_1/amd (No. 141, origin choice 2)
Unique sites:
Ga1 0.000 0.250 0.375 x4
Pb1 0.000 0.250 0.875 x4
Cl1 0.000 0.059 0.189 x16


Density functional theory data (PBE-GGA) for an optimized crystal structure of Ca3AcTe4.

Results
The uncorrected energy is -70.56 eV for the cell shown. The formation energy from raw total energies comes out at -1215.8 kJ/mol of formula units. The spin magnetization comes out at 0.00 μB per atom.

abc: 6.505 6.505 12.930
angles: 90.00 90.00 90.00
Space group I4/mmm (No. 139)
Unique sites:
Ca1 0.000 0.000 0.000 x2
Ca2 0.000 0.500 0.250 x4
Ac1 0.000 0.000 0.500 x2
Te1 0.000 0.000 0.243 x4
Te2 0.000 0.500 0.000 x4